[1]
The following is a PBE calculation of crystalline Os2RuN2 at its relaxed geometry, from Alexandria via LeMat-Bulk.

The structure in extended XYZ format:
```
10
Lattice="6.621 0.000 0.000 0.000 6.621 0.000 0.000 0.000 2.706" Properties=species:S:1:pos:R:3 pbc="T T T"
N 2.489 0.822 1.353
N 5.799 2.489 1.353
N 4.132 5.799 1.353
N 0.822 4.132 1.353
Ru 0.000 0.000 0.000
Ru 3.310 3.310 0.000
Os 5.704 4.227 0.000
Os 0.916 2.394 0.000
Os 4.227 0.916 0.000
Os 2.394 5.704 0.000
```

As for the theoretical density: 14.27 g cm⁻³. The value obtained for the energy above the most stable polymorph in this dataset is 657.2 meV/atom. As for the crystal system: tetragonal. Its symmetry is No. 127. The volume comes out at 118.6 Å³/cell. The value obtained for the formation energy without anion corrections is 149.1 kJ per mole of atoms.


[2]
The following is a PBE calculation of crystalline OsRu2N2 at its relaxed geometry, from Alexandria via LeMat-Bulk.

The structure in extended XYZ format:
```
10
Lattice="-5.140 -3.392 -1.558 1.364 -4.175 4.590 -1.526 1.484 1.804" Properties=species:S:1:pos:R:3 pbc="T T T"
Os 0.000 0.000 0.000
Os -1.888 -3.783 1.516
Ru -0.682 -2.550 3.680
Ru -2.298 -1.078 1.102
Ru -4.620 -3.533 1.157
Ru -3.004 -5.004 3.734
N -0.497 -1.946 1.181
N -3.254 -3.067 -0.229
N -3.279 -5.621 1.851
N -0.522 -4.500 3.262
```

As for the theoretical density: 12.40 g cm⁻³. The value obtained for the energy above the most stable polymorph in this dataset is 296.5 meV/atom. As for the crystal system: tetragonal. Its symmetry is No. 127. The volume comes out at 112.6 Å³/cell. The value obtained for the formation energy without anion corrections is 105.9 kJ per mole of atoms.


[3]
The following is a PBE calculation of crystalline OsRuN3 at its relaxed geometry, from Alexandria via LeMat-Bulk.

The structure in extended XYZ format:
```
5
Lattice="3.841 0.000 0.000 0.000 3.841 0.000 0.000 0.000 3.841" Properties=species:S:1:pos:R:3 pbc="T T T"
Ru 1.921 1.921 1.921
N 0.000 0.000 1.921
N 0.000 1.921 0.000
N 1.921 0.000 0.000
Os 0.000 0.000 0.000
```

As for the theoretical density: 9.76 g cm⁻³. As for the crystal system: cubic. Its symmetry is No. 221. The volume comes out at 56.7 Å³/cell. The value obtained for the formation energy without anion corrections is 145.3 kJ per mole of atoms.


[4]
The following is a PBE calculation of crystalline OsRu4N2 at its relaxed geometry, from Alexandria via LeMat-Bulk.

The structure in extended XYZ format:
```
7
Lattice="4.615 0.000 0.000 0.000 4.615 0.000 2.307 2.307 5.475" Properties=species:S:1:pos:R:3 pbc="T T T"
Ru 2.307 0.000 0.000
Ru 0.000 2.307 0.000
Ru 4.615 4.615 2.623
Ru 2.307 2.307 2.852
Os 0.000 0.000 0.000
N 4.615 4.615 4.351
N 2.307 2.307 1.124
```

As for the theoretical density: 8.87 g cm⁻³. As for the crystal system: tetragonal. Its symmetry is No. 139. The volume comes out at 116.6 Å³/cell. The value obtained for the formation energy without anion corrections is 184.3 kJ per mole of atoms.


[5]
The following is a PBE calculation of crystalline OsRu3N at its relaxed geometry, from Alexandria via LeMat-Bulk.

The structure in extended XYZ format:
```
5
Lattice="-1.489 -3.351 -1.612 -0.360 -1.599 3.655 -3.701 1.503 0.293" Properties=species:S:1:pos:R:3 pbc="T T T"
Os -2.775 -1.723 1.168
Ru -0.180 -0.799 1.828
Ru -0.744 -1.676 -0.806
Ru -1.851 0.752 0.147
N 0.000 0.000 0.000
```

As for the theoretical density: 13.11 g cm⁻³. The value obtained for the energy above the most stable polymorph in this dataset is 0.0 meV/atom. As for the crystal system: cubic. Its symmetry is No. 221. The volume comes out at 64.3 Å³/cell. The value obtained for the formation energy without anion corrections is 47.2 kJ per mole of atoms.


[6]
The following is a PBE calculation of crystalline OsRuN3 at its relaxed geometry, from Alexandria via LeMat-Bulk.

The structure in extended XYZ format:
```
5
Lattice="3.817 0.000 0.000 0.000 3.817 0.000 0.000 0.000 3.817" Properties=species:S:1:pos:R:3 pbc="T T T"
N 0.000 1.908 0.000
N 0.000 0.000 1.908
N 1.908 0.000 0.000
Os 1.908 1.908 1.908
Ru 0.000 0.000 0.000
```

As for the theoretical density: 9.96 g cm⁻³. As for the crystal system: cubic. Its symmetry is No. 221. The volume comes out at 55.6 Å³/cell. The value obtained for the formation energy without anion corrections is 193.1 kJ per mole of atoms.


[7]
The following is a PBE calculation of crystalline OsRuN2 at its relaxed geometry, from Alexandria via LeMat-Bulk.

The structure in extended XYZ format:
```
4
Lattice="2.429 -2.029 2.146 1.313 1.445 3.287 -1.162 -1.469 3.333" Properties=species:S:1:pos:R:3 pbc="T T T"
Ru 0.000 0.000 0.000
N 0.645 -0.513 2.192
N 1.935 -1.539 6.575
Os 1.290 -1.026 4.383
```

As for the theoretical density: 13.42 g cm⁻³. The value obtained for the energy above the most stable polymorph in this dataset is 931.6 meV/atom. As for the crystal system: cubic. Its symmetry is No. 225. The volume comes out at 39.5 Å³/cell. The value obtained for the formation energy without anion corrections is 132.7 kJ per mole of atoms.


[8]
The following is a PBE calculation of crystalline OsRu3N at its relaxed geometry, from Alexandria via LeMat-Bulk.

The structure in extended XYZ format:
```
5
Lattice="4.717 0.000 0.000 0.000 4.717 0.000 0.000 0.000 4.717" Properties=species:S:1:pos:R:3 pbc="T T T"
Ru 0.000 0.000 2.358
Ru 2.358 0.000 0.000
Ru 0.000 2.358 0.000
Os 0.000 0.000 0.000
N 2.358 2.358 2.358
```

As for the theoretical density: 8.03 g cm⁻³. The value obtained for the energy above the most stable polymorph in this dataset is 2342.1 meV/atom. As for the crystal system: cubic. Its symmetry is No. 221. The volume comes out at 104.9 Å³/cell. The value obtained for the formation energy without anion corrections is 273.2 kJ per mole of atoms.


[9]
The following is a PBE calculation of crystalline OsRu2N2 at its relaxed geometry, from Alexandria via LeMat-Bulk.

The structure in extended XYZ format:
```
5
Lattice="4.146 0.000 0.000 0.000 4.146 0.000 2.073 2.073 3.746" Properties=species:S:1:pos:R:3 pbc="T T T"
N 4.146 4.146 1.974
N 2.073 2.073 1.773
Ru 2.073 4.146 1.873
Ru 4.146 2.073 1.873
Os 0.000 0.000 0.000
```

As for the theoretical density: 10.84 g cm⁻³. The value obtained for the energy above the most stable polymorph in this dataset is 0.0 meV/atom. As for the crystal system: tetragonal. Its symmetry is No. 139. The volume comes out at 64.4 Å³/cell. The value obtained for the formation energy without anion corrections is 77.3 kJ per mole of atoms.


[10]
The following is a PBE calculation of crystalline Os2RuN2 at its relaxed geometry, from Alexandria via LeMat-Bulk.

The structure in extended XYZ format:
```
5
Lattice="3.380 0.000 0.000 0.000 3.380 0.000 1.690 1.690 5.078" Properties=species:S:1:pos:R:3 pbc="T T T"
Ru 0.000 0.000 0.000
N 3.380 1.690 2.539
N 1.690 3.380 2.539
Os 1.690 1.690 1.356
Os 3.380 3.380 3.722
```

As for the theoretical density: 14.58 g cm⁻³. The value obtained for the energy above the most stable polymorph in this dataset is 0.0 meV/atom. As for the crystal system: tetragonal. Its symmetry is No. 139. The volume comes out at 58.0 Å³/cell. The value obtained for the formation energy without anion corrections is 85.6 kJ per mole of atoms.


[11]
The following is a PBE calculation of crystalline Os2RuN at its relaxed geometry, from Alexandria via LeMat-Bulk.

The structure in extended XYZ format:
```
8
Lattice="5.015 0.000 0.000 0.000 5.015 0.000 2.507 2.507 5.004" Properties=species:S:1:pos:R:3 pbc="T T T"
Ru 5.015 2.507 2.502
Ru 0.000 0.000 0.000
Os 6.268 5.881 3.753
Os 3.373 1.254 1.251
Os 3.761 4.149 3.753
Os 1.641 3.761 1.251
N 2.507 5.015 2.502
N 2.507 2.507 0.000
```

As for the theoretical density: 13.08 g cm⁻³. As for the crystal system: tetragonal. Its symmetry is No. 122. The volume comes out at 125.8 Å³/cell. The value obtained for the formation energy without anion corrections is 85.6 kJ per mole of atoms.


[12]
The following is a PBE calculation of crystalline OsRuN2 at its relaxed geometry, from Alexandria via LeMat-Bulk.

The structure in extended XYZ format:
```
4
Lattice="1.607 0.000 6.534 -0.804 1.392 6.534 -0.804 -1.392 6.534" Properties=species:S:1:pos:R:3 pbc="T T T"
N 0.000 0.000 1.930
N 0.000 0.000 17.672
Ru 0.000 0.000 9.801
Os 0.000 0.000 0.000
```

As for the theoretical density: 12.09 g cm⁻³. The value obtained for the energy above the most stable polymorph in this dataset is 79.9 meV/atom. As for the crystal system: trigonal. Its symmetry is No. 166. The volume comes out at 43.8 Å³/cell. The value obtained for the formation energy without anion corrections is 50.5 kJ per mole of atoms.